(1)
A plane-wave DFT calculation with GGA-PBE was carried out for Ac8PSe4S3 after structural relaxation.

Geometry as POSCAR:
```
Ac8PSe4S3
1.0
-1.4699 6.0566 -6.1712
-8.7110 -1.4820 0.6204
4.5726 2.0835 7.1884
Ac P Se S
8 1 4 3
Cartesian
-2.2100 2.4472 6.0632
-4.5097 1.3993 2.4474
-0.3660 2.2193 2.2652
-2.9493 5.4937 2.9591
-2.6589 1.1645 -1.3215
-5.2422 4.4389 -0.6276
-1.0986 5.2589 -0.8098
-3.3983 4.2110 -4.4256
-4.3555 -0.7410 0.3102
-0.7350 3.0283 -3.0856
1.5514 4.0701 0.5086
0.0000 0.0000 0.0000
2.2863 1.0418 3.5942
-5.0905 2.2873 -2.7754
-2.8041 3.3291 0.8188
-2.0692 0.3008 3.9044
```

---

(2)
A plane-wave DFT calculation with GGA-PBE was carried out for Ac4PSeS2 after structural relaxation.

Geometry as POSCAR:
```
Ac4PSeS2
1.0
-1.4786 -2.9521 -2.8651
6.9530 -3.1407 -0.3523
-3.9726 -3.3434 5.4952
Ac P Se S
4 1 1 2
Cartesian
-0.0596 -3.0650 -0.1461
1.5614 -6.3712 2.4240
-1.3031 -3.2301 4.0008
4.2835 -3.2540 1.1421
0.0000 0.0000 0.0000
2.7372 -3.0464 -1.6087
-2.7256 -3.1478 1.3150
1.4902 -3.2420 2.5715
```

---

(3)
A plane-wave DFT calculation with GGA-PBE was carried out for Ac8SiP3S4 after structural relaxation.

Geometry as POSCAR:
```
Ac8SiP3S4
1.0
-6.3812 -1.4825 5.9230
6.0360 -0.4866 6.3811
-0.3790 7.1211 -5.2104
Ac Si P S
8 1 3 4
Cartesian
2.5330 6.3650 1.0306
2.7171 2.8091 3.6304
-0.2527 3.0986 0.5033
-0.6569 5.6239 3.9915
-0.0673 -0.4719 3.1023
-0.4715 2.0534 6.5905
-3.4413 2.3429 3.4634
-3.2572 -1.2130 6.0632
3.0180 -0.2433 3.1906
-0.1726 -0.9845 6.1521
-0.3621 2.5760 3.5469
2.8285 3.3173 0.5854
-3.1906 -0.7413 2.9615
-3.3801 2.8193 0.3563
0.0000 0.0000 0.0000
-0.1895 3.5605 -2.6052
```

---

(4)
A plane-wave DFT calculation with GGA-PBE was carried out for Ac4SiPS2 after structural relaxation.

Geometry as POSCAR:
```
Ac4SiPS2
1.0
4.4489 0.0000 0.0000
0.0000 7.6358 -0.1274
0.0000 2.7120 7.2021
Ac Si P S
4 1 1 2
Cartesian
0.0001 7.7176 5.3246
4.4489 2.6301 1.7502
2.2245 6.3741 1.7121
2.2245 3.9736 5.3627
0.0000 5.1738 3.5374
2.2245 3.8179 -0.0637
0.0000 2.7120 7.2021
2.2245 1.3560 3.6010
```

---

(5)
A plane-wave DFT calculation with GGA-PBE was carried out for Ac6Si2PS3 after structural relaxation.

Geometry as POSCAR:
```
Ac6Si2PS3
1.0
-2.7523 -1.9044 -2.9633
6.7680 -1.0420 -5.6164
1.5823 -7.2651 6.5709
Ac Si P S
6 2 1 3
Cartesian
6.3305 -6.4541 -1.7320
2.6251 -4.3069 -3.0421
-0.7325 -3.7573 -0.2768
1.6642 -0.2792 -1.3663
3.9338 -9.9323 -0.6425
2.9729 -5.9046 1.0333
3.2923 -7.1465 -1.8370
2.3057 -3.0650 -0.1718
-1.3761 -0.9522 -1.4817
2.0079 -1.4732 -4.2899
-0.1151 -6.6205 0.9898
5.7131 -3.5909 -2.9986
```

---

(6)
A plane-wave DFT calculation with GGA-PBE was carried out for Ac8Si3PS4 after structural relaxation.

Geometry as POSCAR:
```
Ac8Si3PS4
1.0
8.9545 0.0000 0.0000
0.0000 8.8751 -0.0627
-4.4773 -4.4729 6.3345
Ac Si P S
8 3 1 4
Cartesian
-2.2417 2.1494 6.2660
0.0000 4.3890 3.0959
0.0000 -0.0006 3.1631
2.2417 2.1494 6.2660
2.2356 2.2528 0.0058
4.4773 4.4027 3.1087
4.4773 0.0131 3.1760
6.7189 2.2528 0.0058
4.4773 4.4375 -0.0314
2.2386 2.2011 3.1359
-2.2386 2.2011 3.1359
0.0000 4.4375 -0.0314
4.4773 0.0000 0.0000
2.2386 -2.2365 3.1673
0.0000 0.0000 0.0000
-2.2386 -2.2365 3.1673
```

---

Across the entries above, uncorrected energy takes the values -94.96 -48.59 -98.02 -47.96 -70.85 -93.77 eV for the cell shown, respectively.
Across the entries above, DOS at the Fermi energy takes the values 7.70 3.46 2.27 1.98 2.77 4.41 states/eV/f.u., respectively.